MgMnOsW (PBE-GGA, optimized geometry); Fermi-level density of states = 0.87 states/eV per atom; formation enthalpy at 0 K = 100 meV/atom; magnetization = 3.8 μB per cell; density = 13.05 g/cm3
1.0
6.133 0.000 0.000
0.000 6.133 0.000
0.000 0.000 6.133
Mg Mn Os W
4 4 4 4
Direct
0.000 0.000 0.000 Mg
0.000 0.500 0.500 Mg
0.500 0.000 0.500 Mg
0.500 0.500 0.000 Mg
0.250 0.250 0.750 Mn
0.250 0.750 0.250 Mn
0.750 0.250 0.250 Mn
0.750 0.750 0.750 Mn
0.250 0.250 0.250 Os
0.250 0.750 0.750 Os
0.750 0.250 0.750 Os
0.750 0.750 0.250 Os
0.000 0.000 0.500 W
0.000 0.500 0.000 W
0.500 0.000 0.000 W
0.500 0.500 0.500 W

=====

Pm6As2SeS3 (PBE-GGA, optimized geometry); Fermi-level density of states = 0.35 states/eV per atom; magnetization = 0.0 μB per cell; density = 6.63 g/cm3; formation energy from raw total energies = -2151.0 kJ/mol of formula units
1.0
9.001 -2.067 0.000
9.001 2.067 0.000
-1.852 0.000 8.048
Pm As Se S
6 2 1 3
Direct
0.001 0.001 0.238 Pm
0.329 0.329 0.416 Pm
0.333 0.333 0.915 Pm
0.667 0.667 0.085 Pm
0.671 0.671 0.584 Pm
0.999 0.999 0.762 Pm
0.166 0.166 0.832 As
0.834 0.834 0.168 As
0.500 0.500 0.500 Se
0.165 0.165 0.334 S
0.500 0.500 0.000 S
0.835 0.835 0.666 S

=====

LiYHf (PBE-GGA, optimized geometry); Fermi-level density of states = 1.17 states/eV per atom; formation enthalpy at 0 K = 133 meV/atom; magnetization = 0.0 μB per cell; density = 6.02 g/cm3; energy above the lowest structure with this stoichiometry = 35 meV per atom
1.0
1.655 0.956 15.959
-1.655 0.956 15.959
0.000 -1.911 15.959
Li Y Hf
2 2 2
Direct
0.192 0.192 0.192 Li
0.808 0.808 0.808 Li
0.082 0.082 0.082 Y
0.918 0.918 0.918 Y
0.359 0.359 0.359 Hf
0.641 0.641 0.641 Hf

=====

LiSn3Rh2 (PBE-GGA, optimized geometry); Fermi-level density of states = 0.56 states/eV per atom; formation enthalpy at 0 K = -232 meV/atom; magnetization = 0.0 μB per cell; density = 8.08 g/cm3
1.0
6.427 0.000 0.000
-3.214 5.566 0.000
0.000 0.000 6.535
Li Sn Rh
2 6 4
Direct
0.333 0.667 0.205 Li
0.667 0.333 0.795 Li
0.170 0.340 0.800 Sn
0.170 0.830 0.800 Sn
0.340 0.170 0.200 Sn
0.660 0.830 0.800 Sn
0.830 0.170 0.200 Sn
0.830 0.660 0.200 Sn
0.000 0.000 0.500 Rh
0.000 0.500 0.500 Rh
0.500 0.000 0.500 Rh
0.500 0.500 0.500 Rh

=====

HfAu5 (PBE-GGA, optimized geometry); Fermi-level density of states = 0.47 states/eV per atom; formation enthalpy at 0 K = -283 meV/atom; magnetization = 0.0 μB per cell; density = 17.38 g/cm3
1.0
9.365 0.000 0.000
0.000 3.957 0.000
-1.935 0.000 5.997
Hf Au
2 10
Direct
0.000 0.000 0.000 Hf
0.500 0.500 0.000 Hf
0.000 0.000 0.500 Au
0.158 0.500 0.325 Au
0.169 0.500 0.839 Au
0.331 0.000 0.161 Au
0.342 0.000 0.675 Au
0.500 0.500 0.500 Au
0.658 0.000 0.325 Au
0.669 0.000 0.839 Au
0.831 0.500 0.161 Au
0.842 0.500 0.675 Au

=====

Pm2Ho15Er2 (PBE-GGA, optimized geometry); Fermi-level density of states = 1.74 states/eV per atom; formation enthalpy at 0 K = 301 meV/atom; magnetization = 0.0 μB per cell; density = 8.24 g/cm3
1.0
5.539 3.198 5.873
-5.539 3.198 5.873
0.000 -6.396 5.873
Pm Ho Er
2 15 2
Direct
0.100 0.100 0.100 Pm
0.900 0.900 0.900 Pm
0.000 0.000 0.500 Ho
0.000 0.303 0.697 Ho
0.000 0.500 0.000 Ho
0.000 0.697 0.303 Ho
0.151 0.628 0.628 Ho
0.303 0.000 0.697 Ho
0.303 0.697 0.000 Ho
0.372 0.372 0.849 Ho
0.372 0.849 0.372 Ho
0.500 0.000 0.000 Ho
0.628 0.151 0.628 Ho
0.628 0.628 0.151 Ho
0.697 0.000 0.303 Ho
0.697 0.303 0.000 Ho
0.849 0.372 0.372 Ho
0.322 0.322 0.322 Er
0.678 0.678 0.678 Er